# Cr2NiSe (PBE, relaxed)
# Raw formation energy: 57.1 kJ/mol of formula units
data_Cr2NiSe
_cell_length_a 3.273
_cell_length_b 4.065
_cell_length_c 8.196
_cell_angle_alpha 90.00
_cell_angle_beta 90.00
_cell_angle_gamma 90.00
_symmetry_space_group_name_H-M 'I m m 2'
_symmetry_Int_Tables_number 44
loop_
_symmetry_equiv_pos_as_xyz
'x,y,z'
'-x,-y,z'
'-x,y,z'
'x,-y,z'
'x+1/2,y+1/2,z+1/2'
'-x+1/2,-y+1/2,z+1/2'
'-x+1/2,y+1/2,z+1/2'
'x+1/2,-y+1/2,z+1/2'
loop_
_atom_site_label
_atom_site_fract_x
_atom_site_fract_y
_atom_site_fract_z
_atom_site_occupancy
Cr1 0.000 0.000 0.000 1
Cr2 0.000 0.500 0.234 1
Ni1 0.000 0.500 0.760 1
Se1 0.000 0.000 0.478 1


# RbZn2Cr (PBE, relaxed)
# Formation enthalpy at 0 K: 0.572 eV per atom
data_RbZn2Cr
_cell_length_a 5.342
_cell_length_b 5.342
_cell_length_c 18.107
_cell_angle_alpha 90.00
_cell_angle_beta 90.00
_cell_angle_gamma 90.00
_symmetry_space_group_name_H-M 'I 41/a m d'
_symmetry_Int_Tables_number 141
loop_
_symmetry_equiv_pos_as_xyz
'x,y,z'
'-x,-y,-z'
'-y+1/4,x+3/4,z+1/4'
'y+1/4,-x+3/4,-z+1/4'
'-x+1/2,-y,z+1/2'
'x+1/2,y,-z+1/2'
'y+1/4,-x+1/4,z+3/4'
'-y+1/4,x+1/4,-z+3/4'
'x,-y,-z'
'-x,y,z'
'-y+1/4,-x+1/4,-z+3/4'
'y+1/4,x+1/4,z+3/4'
'-x+1/2,y,-z+1/2'
'x+1/2,-y,z+1/2'
'y+1/4,x+3/4,-z+1/4'
'-y+1/4,-x+3/4,z+1/4'
'x+1/2,y+1/2,z+1/2'
'-x+1/2,-y+1/2,-z+1/2'
'-y+3/4,x+1/4,z+3/4'
'y+3/4,-x+1/4,-z+3/4'
'-x,-y+1/2,z'
'x,y+1/2,-z'
'y+3/4,-x+3/4,z+1/4'
'-y+3/4,x+3/4,-z+1/4'
'x+1/2,-y+1/2,-z+1/2'
'-x+1/2,y+1/2,z+1/2'
'-y+3/4,-x+3/4,-z+1/4'
'y+3/4,x+3/4,z+1/4'
'-x,y+1/2,-z'
'x,-y+1/2,z'
'y+3/4,x+1/4,-z+3/4'
'-y+3/4,-x+1/4,z+3/4'
loop_
_atom_site_label
_atom_site_fract_x
_atom_site_fract_y
_atom_site_fract_z
_atom_site_occupancy
Rb1 0.000 0.250 0.375 1
Zn1 0.000 0.000 0.000 1
Cr1 0.000 0.250 0.875 1


# GeRh3W (PBE, relaxed)
# Formation enthalpy at 0 K: 1.105 eV per atom
data_GeRh3W
_cell_length_a 4.716
_cell_length_b 4.716
_cell_length_c 4.716
_cell_angle_alpha 90.00
_cell_angle_beta 90.00
_cell_angle_gamma 90.00
_symmetry_space_group_name_H-M 'P m -3 m'
_symmetry_Int_Tables_number 221
_symmetry_space_group_name_Hall '-P 4 2 3'
loop_
_atom_site_label
_atom_site_fract_x
_atom_site_fract_y
_atom_site_fract_z
_atom_site_occupancy
Ge1 0.000 0.000 0.000 1
Rh1 0.000 0.500 0.500 1
W1 0.500 0.500 0.500 1


# NaSrEuAl (PBE, relaxed)
# Formation enthalpy at 0 K: -0.026 eV per atom
data_NaSrEuAl
_cell_length_a 8.111
_cell_length_b 8.111
_cell_length_c 8.111
_cell_angle_alpha 90.00
_cell_angle_beta 90.00
_cell_angle_gamma 90.00
_symmetry_space_group_name_H-M 'F -4 3 m'
_symmetry_Int_Tables_number 216
_symmetry_space_group_name_Hall 'F -4 2 3'
loop_
_atom_site_label
_atom_site_fract_x
_atom_site_fract_y
_atom_site_fract_z
_atom_site_occupancy
Na1 0.000 0.000 0.000 1
Sr1 0.250 0.250 0.250 1
Eu1 0.250 0.250 0.750 1
Al1 0.000 0.000 0.500 1


# KSnHg2H (PBE, relaxed)
# E: -8.8 eV for the cell shown
data_KSnHg2H
_cell_length_a 5.973
_cell_length_b 5.973
_cell_length_c 3.973
_cell_angle_alpha 90.00
_cell_angle_beta 90.00
_cell_angle_gamma 90.00
_symmetry_space_group_name_H-M 'P 4/m m m'
_symmetry_Int_Tables_number 123
_symmetry_space_group_name_Hall '-P 4 2'
loop_
_atom_site_label
_atom_site_fract_x
_atom_site_fract_y
_atom_site_fract_z
_atom_site_occupancy
K1 0.000 0.000 0.000 1
Sn1 0.500 0.500 0.500 1
Hg1 0.000 0.500 0.500 1
H1 0.500 0.500 0.000 1


# TbCoSi3Tc (PBE, relaxed)
# Raw formation energy: -216.1 kJ/mol of formula units
data_TbCoSi3Tc
_cell_length_a 7.354
_cell_length_b 10.742
_cell_length_c 5.448
_cell_angle_alpha 90.00
_cell_angle_beta 90.00
_cell_angle_gamma 90.00
_symmetry_space_group_name_H-M 'C m c m'
_symmetry_Int_Tables_number 63
_symmetry_space_group_name_Hall '-C 2c 2'
loop_
_atom_site_label
_atom_site_fract_x
_atom_site_fract_y
_atom_site_fract_z
_atom_site_occupancy
Tb1 0.000 0.242 0.250 1
Co1 0.000 0.039 0.750 1
Si1 0.000 0.233 0.750 1
Si2 0.241 0.000 0.000 1
Tc1 0.000 0.442 0.750 1


# DyTmCd17 (PBE, relaxed)
# Formation enthalpy at 0 K: -0.088 eV per atom
data_DyTmCd17
_cell_length_a 10.0274
_cell_length_b 10.0274
_cell_length_c 15.0490
_cell_angle_alpha 90.00
_cell_angle_beta 90.00
_cell_angle_gamma 120.00
_symmetry_space_group_name_H-M 'R 3 m'
_symmetry_Int_Tables_number 160
_symmetry_space_group_name_Hall 'R 3 -2"'
loop_
_atom_site_label
_atom_site_fract_x
_atom_site_fract_y
_atom_site_fract_z
_atom_site_occupancy
Dy1 0.0000 0.0000 0.0000 1
Tm1 0.0000 0.0000 0.3520 1
Cd1 0.0000 0.0000 0.5720 1
Cd2 0.0000 0.0000 0.7632 1
Cd3 0.0271 0.3582 0.3395 1
Cd4 0.1818 0.3635 0.1510 1
Cd5 0.1860 0.3720 0.5138 1
Cd6 0.2057 0.4115 0.8523 1


# CaOsCl2 (PBE, relaxed)
# Raw formation energy: -92.0 kJ/mol of formula units
data_CaOsCl2
_cell_length_a 3.339
_cell_length_b 4.274
_cell_length_c 6.930
_cell_angle_alpha 90.00
_cell_angle_beta 103.77
_cell_angle_gamma 90.00
_symmetry_space_group_name_H-M 'P 1 m 1'
_symmetry_Int_Tables_number 6
loop_
_symmetry_equiv_pos_as_xyz
'x,y,z'
'x,-y,z'
loop_
_atom_site_label
_atom_site_fract_x
_atom_site_fract_y
_atom_site_fract_z
_atom_site_occupancy
Ca1 0.000 0.000 0.000 1
Os1 0.379 0.500 0.754 1
Cl1 0.326 0.000 0.649 1
Cl2 0.587 0.500 0.177 1


Number 1: density 7.36 Mg/m³. Number 2: density 3.45 Mg/m³. Number 3: density 8.95 Mg/m³. Number 4: density 3.60 Mg/m³. Number 5: density 6.56 Mg/m³. Number 6: density 6.18 Mg/m³. Number 7: density 8.52 Mg/m³. Number 8: density 5.21 Mg/m³.